KCuAg2: PBEsol geometry, SCAN.

Properties
For the density of states at the Fermi level, the calculation gives 0.993 states/eV/f.u. Its uncorrected energy is -21.0837 eV/atom. The size of the total moment is 0.000 μB per atom. The value obtained for the formation energy is 0.482 eV per atom. For the energy above the most stable polymorph in this dataset, the calculation gives 18.4 kJ/mol of atoms.

a = 2.923 Å, b = 5.123 Å, c = 5.123 Å
α = 90.00°, β = 90.00°, γ = 90.00°
Element x y z (fractional)
Ag (0.000, 0.500, 0.000)
Ag (0.000, 0.000, 0.500)
Cu (0.500, 0.500, 0.500)
K (0.500, 0.000, 0.000)